--- i ---
YHo2Th4: optimized geometry, GGA-PBE.

Summary:
- symmetry = I4/mmm (139)
- M_tot (μB/atom) = 0.0126
- crystal system = tetragonal

a b c (Å): 9.1371 9.1371 9.1371
angles (deg): 143.96 143.96 51.89
Last column: nearest neighbours and their distance in Å.
Fractional coordinates of all 7 atoms:
1 Y 0.0000 0.0000 0.0000  6 Th 2.83-3.07
2 Ho 0.3853 0.3853 0.0000  5 Th 3.26-3.40
3 Ho 0.6147 0.6147 0.0000  5 Th 3.26-3.40
4 Th 0.0000 0.5000 0.5000  2 Y 2.83
5 Th 0.1870 0.1870 0.0000  1 Y 3.07, 1 Ho 3.26
6 Th 0.5000 0.0000 0.5000  2 Y 2.83
7 Th 0.8130 0.8130 0.0000  1 Y 3.07, 1 Ho 3.26

***

--- ii ---
YHo2Th4: optimized geometry, GGA-PBE.

Summary:
- symmetry = C2/c (15)
- M_tot (μB/atom) = 0.0001
- crystal system = monoclinic

a b c (Å): 6.8446 6.8446 11.7008
angles (deg): 90.04 90.04 121.58
Last column: nearest neighbours and their distance in Å.
Fractional coordinates of all 14 atoms:
1 Y 0.1570 0.8430 0.7500  2 Th 3.38, 1 Ho 3.45
2 Y 0.8430 0.1570 0.2500  2 Th 3.38, 1 Ho 3.45
3 Ho 0.1320 0.8680 0.2500  2 Th 3.25, 1 Y 3.45, 2 Ho 3.63
4 Ho 0.4877 0.5123 0.7500  4 Th 3.44, 2 Ho 3.63
5 Ho 0.5123 0.4877 0.2500  4 Th 3.44, 2 Ho 3.63
6 Ho 0.8680 0.1320 0.7500  2 Th 3.25, 1 Y 3.45, 2 Ho 3.63
7 Th 0.2303 0.2301 0.9998  3 Th 3.08-3.25, 2 Ho 3.44
8 Th 0.2301 0.2303 0.4998  3 Th 3.08-3.25, 2 Ho 3.44
9 Th 0.2740 0.7255 0.0133  6 Th 3.25-3.62, 1 Ho 3.25, 1 Y 3.38
10 Th 0.2745 0.7260 0.4867  6 Th 3.25-3.62, 1 Ho 3.25, 1 Y 3.38
11 Th 0.7255 0.2740 0.5133  6 Th 3.25-3.62, 1 Ho 3.25, 1 Y 3.38
12 Th 0.7260 0.2745 0.9867  6 Th 3.25-3.62, 1 Ho 3.25, 1 Y 3.38
13 Th 0.7697 0.7699 0.0002  3 Th 3.08-3.25, 2 Ho 3.44
14 Th 0.7699 0.7697 0.5002  3 Th 3.08-3.25, 2 Ho 3.44

***

Relative energies, unit meV/atom: i 770; ii 0

***

--- i ---
Y2Ho3Th3: optimized geometry, GGA-PBE.

Summary:
- symmetry = Immm (71)
- M_tot (μB/atom) = 0.0000
- crystal system = orthorhombic

a b c (Å): 10.7261 10.7261 10.7261
angles (deg): 153.00 152.85 38.66
Last column: nearest neighbours and their distance in Å.
Fractional coordinates of all 8 atoms:
1 Y 0.2500 0.2500 0.0000  4 Y 3.55, 4 Ho 3.58-3.59, 4 Th 3.59-3.60
2 Y 0.7500 0.7500 0.0000  4 Y 3.55, 4 Ho 3.58-3.59, 4 Th 3.59-3.60
3 Ho 0.0000 0.0000 0.0000  8 Th 3.54-3.55, 4 Ho 3.54
4 Ho 0.1238 0.6238 0.5000  2 Ho 3.54, 6 Th 3.55, 4 Y 3.58-3.59
5 Ho 0.8762 0.3762 0.5000  2 Ho 3.54, 6 Th 3.55, 4 Y 3.58-3.59
6 Th 0.3772 0.8772 0.5000  2 Th 3.53, 6 Ho 3.54-3.55, 4 Y 3.59-3.60
7 Th 0.5000 0.5000 0.0000  4 Th 3.53, 8 Ho 3.55
8 Th 0.6228 0.1228 0.5000  2 Th 3.53, 6 Ho 3.54-3.55, 4 Y 3.59-3.60

***

--- ii ---
Y2Ho3Th3: optimized geometry, GGA-PBE.

Summary:
- symmetry = P-62m (189)
- M_tot (μB/atom) = 0.0000
- crystal system = hexagonal

a b c (Å): 9.0846 9.0846 3.5985
angles (deg): 90.00 90.00 120.00
Last column: nearest neighbours and their distance in Å.
Fractional coordinates of all 8 atoms:
1 Y 0.3333 0.6667 0.0000  6 Ho 3.32, 2 Y 3.60, 3 Th 3.61
2 Y 0.6667 0.3333 0.0000  6 Ho 3.32, 2 Y 3.60, 3 Th 3.61
3 Ho 0.0000 0.6062 0.5000  4 Y 3.32, 4 Th 3.59, 2 Ho 3.60
4 Ho 0.3938 0.3938 0.5000  4 Y 3.32, 4 Th 3.59, 2 Ho 3.60
5 Ho 0.6062 0.0000 0.5000  4 Y 3.32, 4 Th 3.59, 2 Ho 3.60
6 Th 0.0000 0.2275 0.0000  4 Th 3.58-3.60, 6 Ho 3.59-3.88, 2 Y 3.61
7 Th 0.2275 0.0000 0.0000  4 Th 3.58-3.60, 6 Ho 3.59-3.88, 2 Y 3.61
8 Th 0.7725 0.7725 0.0000  4 Th 3.58-3.60, 6 Ho 3.59-3.88, 2 Y 3.61

***

Relative energies, unit meV/atom: i 0; ii 113

***

--- i ---
Y6Ho2Th: optimized geometry, GGA-PBE.

Summary:
- symmetry = R3m (160)
- M_tot (μB/atom) = 0.0002
- crystal system = trigonal

a b c (Å): 7.7574 7.7574 7.7574
angles (deg): 57.07 57.07 57.07
Last column: nearest neighbours and their distance in Å.
Fractional coordinates of all 9 atoms:
1 Y 0.1718 0.1718 0.6565  1 Th 3.20, 2 Y 3.43, 1 Ho 3.56
2 Y 0.1718 0.6565 0.1718  1 Th 3.20, 2 Y 3.43, 1 Ho 3.56
3 Y 0.3914 0.3914 0.8206  1 Th 2.91, 2 Y 3.18
4 Y 0.3914 0.8206 0.3914  1 Th 2.91, 2 Y 3.18
5 Y 0.6565 0.1718 0.1718  1 Th 3.20, 2 Y 3.43, 1 Ho 3.56
6 Y 0.8206 0.3914 0.3914  1 Th 2.91, 2 Y 3.18
7 Ho 0.6820 0.6820 0.6820  1 Ho 3.38, 9 Y 3.40-3.72
8 Ho 0.8561 0.8561 0.8561  1 Ho 3.38, 9 Y 3.56-3.72
9 Th 0.1195 0.1195 0.1195  6 Y 2.91-3.20

***

--- ii ---
Y6Ho2Th: optimized geometry, GGA-PBE.

Summary:
- symmetry = C2/c (15)
- M_tot (μB/atom) = 0.0000
- crystal system = monoclinic

a b c (Å): 9.9526 9.9526 6.4805
angles (deg): 98.09 98.09 68.84
Last column: nearest neighbours and their distance in Å.
Fractional coordinates of all 18 atoms:
1 Y 0.0807 0.5604 0.2257  1 Th 3.32, 5 Y 3.42-3.63, 3 Ho 3.45-3.48
2 Y 0.1219 0.8353 0.9905  5 Y 3.30-3.48, 1 Th 3.32, 2 Ho 3.59-3.62
3 Y 0.1647 0.8781 0.5095  5 Y 3.30-3.48, 1 Th 3.32, 2 Ho 3.59-3.62
4 Y 0.2455 0.4914 0.7382  2 Th 3.31-3.64, 4 Y 3.44-3.63, 1 Ho 3.47
5 Y 0.4396 0.9193 0.2743  1 Th 3.32, 5 Y 3.42-3.63, 3 Ho 3.45-3.48
6 Y 0.4914 0.2455 0.2382  2 Th 3.31-3.64, 4 Y 3.44-3.63, 1 Ho 3.47
7 Y 0.5086 0.7545 0.7618  2 Th 3.31-3.64, 4 Y 3.44-3.63, 1 Ho 3.47
8 Y 0.5604 0.0807 0.7257  1 Th 3.32, 5 Y 3.42-3.63, 3 Ho 3.45-3.48
9 Y 0.7545 0.5086 0.2618  2 Th 3.31-3.64, 4 Y 3.44-3.63, 1 Ho 3.47
10 Y 0.8353 0.1219 0.4905  5 Y 3.30-3.48, 1 Th 3.32, 2 Ho 3.59-3.62
11 Y 0.8781 0.1647 0.0095  5 Y 3.30-3.48, 1 Th 3.32, 2 Ho 3.59-3.62
12 Y 0.9193 0.4396 0.7743  1 Th 3.32, 5 Y 3.42-3.63, 3 Ho 3.45-3.48
13 Ho 0.1488 0.2289 0.4049  2 Ho 3.36, 6 Y 3.45-3.62
14 Ho 0.2289 0.1488 0.9049  2 Ho 3.36, 6 Y 3.45-3.62
15 Ho 0.7711 0.8512 0.0951  2 Ho 3.36, 6 Y 3.45-3.62
16 Ho 0.8512 0.7711 0.5951  2 Ho 3.36, 6 Y 3.45-3.62
17 Th 0.3990 0.6010 0.2500  8 Y 3.31-3.64
18 Th 0.6010 0.3990 0.7500  8 Y 3.31-3.64

***

Relative energies, unit meV/atom: i 256; ii 0

***

--- i ---
YHo6Th: optimized geometry, GGA-PBE.

Summary:
- symmetry = P4/mmm (123)
- M_tot (μB/atom) = 0.0000
- crystal system = tetragonal

a b c (Å): 5.0189 5.0189 9.9522
angles (deg): 90.00 90.00 90.00
Last column: nearest neighbours and their distance in Å.
Fractional coordinates of all 8 atoms:
1 Y 0.0000 0.0000 0.0000  12 Ho 3.55
2 Ho 0.0000 0.5000 0.2526  2 Th 3.52, 8 Ho 3.52-3.55, 2 Y 3.55
3 Ho 0.0000 0.5000 0.7474  2 Th 3.52, 8 Ho 3.52-3.55, 2 Y 3.55
4 Ho 0.5000 0.0000 0.2526  2 Th 3.52, 8 Ho 3.52-3.55, 2 Y 3.55
5 Ho 0.5000 0.0000 0.7474  2 Th 3.52, 8 Ho 3.52-3.55, 2 Y 3.55
6 Ho 0.5000 0.5000 0.0000  4 Y 3.55, 8 Ho 3.55
7 Ho 0.5000 0.5000 0.5000  8 Ho 3.52, 4 Th 3.55
8 Th 0.0000 0.0000 0.5000  12 Ho 3.52-3.55

***

--- ii ---
YHo6Th: optimized geometry, GGA-PBE.

Summary:
- symmetry = P-1 (2)
- M_tot (μB/atom) = 0.0001
- crystal system = triclinic

a b c (Å): 6.5834 6.6130 6.7153
angles (deg): 60.57 88.21 88.20
Last column: nearest neighbours and their distance in Å.
Fractional coordinates of all 8 atoms:
1 Y 0.0000 0.0000 0.0000  2 Th 3.29, 6 Ho 3.45-3.59
2 Ho 0.2492 0.5698 0.5059  6 Ho 3.24-3.49, 1 Th 3.58, 1 Y 3.59
3 Ho 0.2520 0.0712 0.5004  6 Ho 3.23-3.50, 1 Y 3.52, 1 Th 3.59
4 Ho 0.2532 0.5332 0.0043  6 Ho 3.23-3.50, 1 Y 3.45, 1 Th 3.52
5 Ho 0.7468 0.4668 0.9957  6 Ho 3.23-3.50, 1 Y 3.45, 1 Th 3.52
6 Ho 0.7480 0.9288 0.4996  6 Ho 3.23-3.50, 1 Y 3.52, 1 Th 3.59
7 Ho 0.7508 0.4302 0.4941  6 Ho 3.24-3.49, 1 Th 3.58, 1 Y 3.59
8 Th 0.5000 0.0000 0.0000  2 Y 3.29, 6 Ho 3.52-3.59

***

Relative energies, unit meV/atom: i 0; ii 192